Here is crystalline PmSmDy3Tm at its relaxed geometry from Alexandria. Energies are from PBE-GGA.

For the total energy, the calculation gives -4.604 eV per atom. The formation energy is 0.020 eV per atom. For the density, the calculation gives 8.22 g/cm³. The calculated volume is 32.0 Å³ per atom.

Cell: 5.0401 7.9711 10.0888 Å, 90.00 90.00 108.43°
Closest atoms and distances in Å follow each position.
Element x y z (fractional)
Dy: 0.1682 0.3364 0.7500  2 Tm 3.53, 6 Dy 3.54-3.57, 2 Sm 3.58, 2 Pm 3.58
Sm: 0.0000 0.0000 0.5000  4 Pm 3.57, 6 Dy 3.58, 2 Tm 3.58
Dy: 0.3321 0.6643 0.9999  5 Dy 3.54-3.57, 3 Tm 3.54-3.56, 2 Pm 3.57-3.58, 2 Sm 3.58
Dy: 0.6679 0.3357 0.0001  5 Dy 3.54-3.57, 3 Tm 3.54-3.56, 2 Pm 3.57-3.58, 2 Sm 3.58
Sm: 0.0000 0.0000 0.0000  4 Pm 3.57, 6 Dy 3.58, 2 Tm 3.58
Tm: 0.1680 0.3360 0.2500  8 Dy 3.53-3.56, 2 Pm 3.58, 2 Sm 3.58
Pm: 0.5003 0.0006 0.2500  4 Sm 3.57, 6 Dy 3.57-3.58, 2 Tm 3.58
Tm: 0.8320 0.6640 0.7500  8 Dy 3.53-3.56, 2 Pm 3.58, 2 Sm 3.58
Pm: 0.4997 0.9994 0.7500  4 Sm 3.57, 6 Dy 3.57-3.58, 2 Tm 3.58
Dy: 0.3321 0.6643 0.5001  5 Dy 3.54-3.57, 3 Tm 3.54-3.56, 2 Pm 3.57-3.58, 2 Sm 3.58
Dy: 0.8318 0.6636 0.2500  2 Tm 3.53, 6 Dy 3.54-3.57, 2 Sm 3.58, 2 Pm 3.58
Dy: 0.6679 0.3357 0.4999  5 Dy 3.54-3.57, 3 Tm 3.54-3.56, 2 Pm 3.57-3.58, 2 Sm 3.58